Record 1
This record from Alexandria describes a geometry-optimized LiRe2Ag structure. The functional is PBE.

Cell lengths 4.5867, 3.6218, 3.6218 Å; angles 90.00, 90.00, 90.00 degrees
Fractional positions:
Ag: 0.5000 0.5000 0.0000
Li: 0.5000 0.0000 0.5000
Re: 0.0000 0.0000 0.0000
Re: 0.0000 0.5000 0.5000

Computed properties:
**Space-group type**: P4/mmm, No. 123
**Energy above the most stable polymorph in this dataset**: 0.209 eV per atom

=====

Record 2
This record from Alexandria describes a geometry-optimized LiRe2Ag structure. The functional is PBE.

Cell lengths 3.2212, 3.2212, 5.6942 Å; angles 90.00, 90.00, 90.00 degrees
Fractional positions:
Ag: 0.5000 0.5000 0.2500
Li: 0.5000 0.5000 0.7500
Re: 0.0000 0.0000 0.9525
Re: 0.0000 0.0000 0.5475

Computed properties:
**Space-group type**: P4/mmm, No. 123
**Energy above the most stable polymorph in this dataset**: 0.554 eV per atom

=====

Record 3
This record from Alexandria describes a geometry-optimized Li2ReAg structure. The functional is PBE.

Cell lengths 5.5038, 5.5038, 5.5038 Å; angles 152.39, 126.45, 61.30 degrees
Site moments in Bohr magnetons follow the coordinates.
Fractional positions:
Ag: 0.2500 0.7500 0.5000  0.03
Li: 0.0047 0.0047 0.0000  0.00
Li: 0.4953 0.4953 0.0000  0.00
Re: 0.7500 0.2500 0.5000  0.56

Computed properties:
**Space-group type**: Immm, No. 71
**Energy above the most stable polymorph in this dataset**: 0.257 eV per atom

=====

Record 4
This record from Alexandria describes a geometry-optimized LiRe3Ag structure. The functional is PBE.

Cell lengths 4.8057, 4.8057, 4.8057 Å; angles 90.00, 90.00, 90.00 degrees
Site moments in Bohr magnetons follow the coordinates.
Fractional positions:
Re: 0.0000 0.5000 0.0000  0.49
Re: 0.0000 0.0000 0.5000  0.77
Re: 0.5000 0.0000 0.0000  0.57
Ag: 0.0000 0.0000 0.0000  0.06
Li: 0.5000 0.5000 0.5000  -0.01

Computed properties:
**Space-group type**: Pm-3m, No. 221
**Energy above the most stable polymorph in this dataset**: 1.467 eV per atom

=====

Record 5
This record from Alexandria describes a geometry-optimized LiReAg structure. The functional is PBE.

Cell lengths 7.0107, 7.0107, 7.0107 Å; angles 158.44, 158.44, 30.68 degrees
Fractional positions:
Ag: 0.9973 0.9973 0.0000
Li: 0.3320 0.3320 0.0000
Re: 0.6708 0.6708 0.0000

Computed properties:
**Space-group type**: I4mm, No. 107
**Energy above the most stable polymorph in this dataset**: 0.070 eV per atom

=====

Record 6
This record from Alexandria describes a geometry-optimized Li2ReAg structure. The functional is PBE.

Cell lengths 2.6318, 2.6318, 8.5633 Å; angles 90.00, 90.00, 90.00 degrees
Fractional positions:
Ag: 0.5000 0.5000 0.7500
Li: 0.0000 0.0000 0.0016
Li: 0.0000 0.0000 0.4984
Re: 0.5000 0.5000 0.2500

Computed properties:
**Space-group type**: P4/mmm, No. 123
**Energy above the most stable polymorph in this dataset**: 0.021 eV per atom

=====

Record 7
This record from Alexandria describes a geometry-optimized Li2ReAg structure. The functional is PBE.

Cell lengths 5.5171, 5.5171, 5.5171 Å; angles 152.73, 129.52, 58.32 degrees
Fractional positions:
Ag: 0.2381 0.7381 0.5000
Li: 0.0019 0.0019 0.0000
Li: 0.7597 0.2597 0.5000
Re: 0.5003 0.5003 0.0000

Computed properties:
**Space-group type**: Imm2, No. 44
**Energy above the most stable polymorph in this dataset**: 0.319 eV per atom

=====

Record 8
This record from Alexandria describes a geometry-optimized Li2ReAg structure. The functional is PBE.

Cell lengths 4.7279, 4.7279, 2.5773 Å; angles 90.00, 90.00, 90.00 degrees
Fractional positions:
Ag: 0.0000 0.5000 0.5000
Li: 0.0000 0.0000 0.0000
Li: 0.5000 0.5000 0.0000
Re: 0.5000 0.0000 0.5000

Computed properties:
**Space-group type**: P4/mmm, No. 123
**Energy above the most stable polymorph in this dataset**: 0.341 eV per atom

=====

Record 9
This record from Alexandria describes a geometry-optimized LiRe2Ag structure. The functional is PBE.

Cell lengths 5.2259, 5.2259, 4.5430 Å; angles 81.76, 81.76, 30.16 degrees
Fractional positions:
Ag: 0.2500 0.2500 0.2500
Li: 0.7500 0.7500 0.7500
Re: 0.9852 0.9852 0.0021
Re: 0.5148 0.5148 0.4979

Computed properties:
**Space-group type**: C2/m, No. 12
**Energy above the most stable polymorph in this dataset**: 0.122 eV per atom

=====

Record 10
This record from Alexandria describes a geometry-optimized Li2ReAg structure. The functional is PBE.

Cell lengths 2.6338, 2.6338, 9.2484 Å; angles 90.00, 90.00, 90.00 degrees
Fractional positions:
Ag: 0.5000 0.5000 0.7519
Li: 0.0000 0.0000 0.9829
Li: 0.5000 0.5000 0.2678
Re: 0.0000 0.0000 0.4974

Computed properties:
**Space-group type**: P4mm, No. 99
**Energy above the most stable polymorph in this dataset**: 0.159 eV per atom

=====

Record 11
This record from Alexandria describes a geometry-optimized LiRe2Ag structure. The functional is PBE.

Cell lengths 2.7049, 2.7049, 9.4039 Å; angles 90.00, 90.00, 114.50 degrees
Fractional positions:
Ag: 0.0000 0.0000 0.5069
Li: 0.5000 0.5000 0.7553
Re: 0.0000 0.0000 0.0036
Re: 0.5000 0.5000 0.2342

Computed properties:
**Space-group type**: Cmm2, No. 35
**Energy above the most stable polymorph in this dataset**: 0.000 eV per atom

=====

Record 12
This record from Alexandria describes a geometry-optimized Li2ReAg structure. The functional is PBE.

Cell lengths 5.0227, 5.0227, 5.0227 Å; angles 134.98, 134.98, 65.56 degrees
Site moments in Bohr magnetons follow the coordinates.
Fractional positions:
Ag: 0.7500 0.2500 0.5000  0.11
Li: 0.0000 0.0000 0.0000  0.00
Li: 0.5000 0.5000 0.0000  0.00
Re: 0.2500 0.7500 0.5000  1.51

Computed properties:
**Space-group type**: I4/mmm, No. 139
**Energy above the most stable polymorph in this dataset**: 0.627 eV per atom

=====

Record 13
This record from Alexandria describes a geometry-optimized Li2ReAg structure. The functional is PBE.

Cell lengths 3.8844, 3.9105, 3.9105 Å; angles 90.00, 90.00, 90.00 degrees
Site moments in Bohr magnetons follow the coordinates.
Fractional positions:
Ag: 0.5000 0.0000 0.5000  0.07
Li: 0.0000 0.0000 0.0000  0.00
Li: 0.0000 0.5000 0.5000  0.00
Re: 0.5000 0.5000 0.0000  1.06

Computed properties:
**Space-group type**: P4/mmm, No. 123
**Energy above the most stable polymorph in this dataset**: 0.584 eV per atom

=====

Record 14
This record from Alexandria describes a geometry-optimized LiRe2Ag structure. The functional is PBE.

Cell lengths 3.0378, 3.0378, 6.6090 Å; angles 90.00, 90.00, 90.00 degrees
Fractional positions:
Ag: 0.0000 0.0000 0.5312
Li: 0.5000 0.5000 0.7527
Re: 0.0000 0.0000 0.0047
Re: 0.5000 0.5000 0.2114

Computed properties:
**Space-group type**: P4mm, No. 99
**Energy above the most stable polymorph in this dataset**: 0.021 eV per atom

=====

Record 15
This record from Alexandria describes a geometry-optimized Li2ReAg structure. The functional is PBE.

Cell lengths 4.5640, 2.5576, 5.2026 Å; angles 87.66, 90.00, 90.00 degrees
Fractional positions:
Ag: 0.5000 0.7500 0.7500
Li: 0.0000 0.8711 0.0217
Li: 0.0000 0.6289 0.4783
Re: 0.5000 0.2500 0.2500

Computed properties:
**Space-group type**: P2/m, No. 10
**Energy above the most stable polymorph in this dataset**: 0.214 eV per atom

=====

Number 1: formation energy from the elements 0.469 eV per atom. Number 2: formation energy from the elements 0.814 eV per atom. Number 3: formation energy from the elements 0.386 eV per atom. Number 4: formation energy from the elements 3.035 eV per atom. Number 5: formation energy from the elements 0.383 eV per atom. Number 6: formation energy from the elements 0.150 eV per atom. Number 7: formation energy from the elements 0.448 eV per atom. Number 8: formation energy from the elements 0.470 eV per atom. Number 9: formation energy from the elements 0.382 eV per atom. Number 10: formation energy from the elements 0.288 eV per atom. Number 11: formation energy from the elements 0.260 eV per atom. Number 12: formation energy from the elements 0.756 eV per atom. Number 13: formation energy from the elements 0.714 eV per atom. Number 14: formation energy from the elements 0.281 eV per atom. Number 15: formation energy from the elements 0.343 eV per atom.